This record from the Alexandria database describes an optimized crystal structure of Cs2KLaBr6. The functional is PBE.

Polymorph energy (0 for the lowest one)   0 kJ/mol of formula units
DOS at the Fermi energy   0.00 states/eV/cell

Cell: 8.392 8.764 14.568 Å, 90.00 124.52 90.00°
Space group P2_1/c (No. 14)
Symmetry-distinct sites (fractional):
Cs (0.226, 0.063, 0.248) [4 per cell]
K (0.000, 0.000, 0.500) [2 per cell]
La (0.500, 0.000, 0.000) [2 per cell]
Br (0.174, 0.191, 0.956) [4 per cell]
Br (0.262, 0.723, 0.949) [4 per cell]
Br (0.357, 0.029, 0.763) [4 per cell]


This record from the Alexandria database describes an optimized crystal structure of BeAuNO2. The functional is PBE.

DOS at the Fermi energy   3.05 states/eV/cell
Total energy   -3.727 eV/atom

Cell: 4.133 4.133 3.802 Å, 90.00 90.00 90.00°
Space group P4/mmm (No. 123)
Symmetry-distinct sites (fractional):
Be (0.000, 0.000, 0.000) [1 per cell]
Au (0.500, 0.500, 0.500) [1 per cell]
N (0.500, 0.500, 0.000) [1 per cell]
O (0.000, 0.500, 0.500) [2 per cell]


This record from the Alexandria database describes an optimized crystal structure of Nd2AlZn4Ga3. The functional is PBE.

DOS at the Fermi energy   2.44 states/eV/cell
Calculated formation energy   -4.75 eV per formula unit

Cell: 4.238 4.238 10.704 Å, 90.00 90.00 90.00°
Space group P-4m2 (No. 115)
Symmetry-distinct sites (fractional):
Nd (0.000, 0.500, 0.248) [2 per cell]
Al (0.000, 0.000, 0.500) [1 per cell]
Zn (0.000, 0.000, 0.000) [1 per cell]
Zn (0.000, 0.500, 0.638) [2 per cell]
Zn (0.500, 0.500, 0.000) [1 per cell]
Ga (0.000, 0.500, 0.866) [2 per cell]
Ga (0.500, 0.500, 0.500) [1 per cell]


This record from the Alexandria database describes an optimized crystal structure of La12Pr7Tl. The functional is PBE.

DOS at the Fermi energy   104.71 states/eV/cell
Calculated formation energy   1.96 eV per formula unit

Cell: 12.7002 12.7002 15.3691 Å, 90.00 90.00 120.00°
Space group R-3 (No. 148, hexagonal axes)
Symmetry-distinct sites (fractional):
La (0.0296, 0.5916, 0.2007) [18 per cell]
La (0.0560, 0.4716, 0.5912) [18 per cell]
Pr (0.0000, 0.0000, 0.0000) [3 per cell]
Pr (0.0486, 0.8678, 0.3006) [18 per cell]
Tl (0.0000, 0.0000, 0.5000) [3 per cell]


This record from the Alexandria database describes an optimized crystal structure of ZnTc2Mo. The functional is PBE.

DOS at the Fermi energy   16.09 states/eV/cell
Calculated formation energy   2.83 eV per formula unit

Cell: 7.014 7.014 5.353 Å, 90.00 90.00 90.00°
Space group I-42d (No. 122)
Symmetry-distinct sites (fractional):
Zn (0.000, 0.000, 0.000) [4 per cell]
Tc (0.225, 0.750, 0.625) [8 per cell]
Mo (0.000, 0.000, 0.500) [4 per cell]


This record from the Alexandria database describes an optimized crystal structure of LiSn3Br. The functional is PBE.

Polymorph energy (0 for the lowest one)   156 kJ/mol of formula units
DOS at the Fermi energy   1.18 states/eV/cell

Cell: 5.637 5.637 5.637 Å, 90.00 90.00 90.00°
Space group Pm-3m (No. 221)
Symmetry-distinct sites (fractional):
Li (0.000, 0.000, 0.000) [1 per cell]
Sn (0.000, 0.500, 0.500) [3 per cell]
Br (0.500, 0.500, 0.500) [1 per cell]